# AcNi2Se

AcNi2Se after structural relaxation (PBE, the Alexandria database).

Computed properties:
- size of the total moment (μB/f.u.) = 0.00
- DOS at the Fermi energy (states/eV per cell) = 3.94
- total energy (eV/cell) = -21.006
- symmetry = R-3m (166)
- raw formation energy (meV per atom) = -463

Cell lengths 4.1839, 4.1839, 5.6332 Å; angles 68.20, 68.20, 60.00 degrees
With the nearest neighbours (Å) after each atom.
Fractional positions:
Ni1 0.7994 0.7994 0.6019  3 Se 2.47, 3 Ni 2.63
Ni2 0.2006 0.2006 0.3981  3 Se 2.47, 3 Ni 2.63
Ac1 0.0000 0.0000 0.0000  8 Ni 3.06-3.15
Se1 0.5000 0.5000 0.5000  6 Ni 2.47


# Ac2TmNiSe5

Ac2TmNiSe5 after structural relaxation (PBE, the Alexandria database).

Computed properties:
- size of the total moment (μB/f.u.) = 0.19
- DOS at the Fermi energy (states/eV per cell) = 9.66
- total energy (eV/cell) = -101.480
- symmetry = Cmc2_1 (36)
- raw formation energy (meV per atom) = -1650

Cell lengths 4.1335, 9.1183, 12.7193 Å; angles 90.00, 90.00, 103.10 degrees
With the nearest neighbours (Å) after each atom.
Fractional positions:
Ac1 0.8842 0.7684 0.8434  8 Se 3.13-3.44
Ac2 0.1232 0.2463 0.6985  7 Se 3.09-3.26
Ac3 0.1158 0.2316 0.3434  8 Se 3.13-3.44
Ac4 0.8768 0.7537 0.1985  7 Se 3.09-3.26
Tm1 0.8230 0.6460 0.5220  6 Se 2.77-2.88
Tm2 0.1770 0.3540 0.0220  6 Se 2.77-2.88
Ni1 0.5586 0.1173 0.9263  4 Se 2.40-2.47
Ni2 0.4414 0.8827 0.4263  4 Se 2.40-2.47
Se1 0.3387 0.6775 0.0191  1 Tm 2.87, 4 Ac 3.15
Se2 0.6914 0.3828 0.8677  1 Ni 2.47
Se3 0.5005 0.0011 0.7562  1 Ni 2.40
Se4 0.3064 0.6128 0.6784  2 Tm 2.88
Se5 0.9787 0.9574 0.5123  2 Ni 2.43
Se6 0.6613 0.3225 0.5191  1 Tm 2.87, 4 Ac 3.15
Se7 0.3086 0.6172 0.3677  1 Ni 2.47
Se8 0.4995 0.9989 0.2562  1 Ni 2.40
Se9 0.6936 0.3872 0.1784  2 Tm 2.88
Se10 0.0213 0.0426 0.0123  2 Ni 2.43


# AcSi3Ni6

AcSi3Ni6 after structural relaxation (PBE, the Alexandria database).

Computed properties:
- size of the total moment (μB/f.u.) = 0.00
- DOS at the Fermi energy (states/eV per cell) = 9.93
- total energy (eV/cell) = -117.241
- symmetry = P2_1/c (14)
- raw formation energy (meV per atom) = -356

Cell lengths 6.6604, 6.3723, 6.9030 Å; angles 95.22, 90.00, 90.00 degrees
With the nearest neighbours (Å) after each atom.
Fractional positions:
Ac1 0.5000 0.5000 0.5000  8 Ni 2.94-3.24, 2 Si 3.19
Ac2 0.0000 0.0000 0.0000  8 Ni 2.94-3.24, 2 Si 3.19
Si1 0.9165 0.7942 0.4897  6 Ni 2.25-2.45
Si2 0.5000 0.0000 0.5000  4 Ni 2.25-2.26
Si3 0.0835 0.2058 0.5103  6 Ni 2.25-2.45
Si4 0.5835 0.2942 0.9897  6 Ni 2.25-2.45
Si5 0.0000 0.5000 0.0000  4 Ni 2.25-2.26
Si6 0.4165 0.7058 0.0103  6 Ni 2.25-2.45
Ni1 0.2103 0.8969 0.6286  3 Si 2.25-2.36, 2 Ni 2.47-2.51
Ni2 0.0321 0.5433 0.6799  3 Si 2.26-2.38, 2 Ni 2.53
Ni3 0.2852 0.2601 0.7819  2 Si 2.31-2.45, 3 Ni 2.47-2.57
Ni4 0.7148 0.7399 0.2181  2 Si 2.31-2.45, 3 Ni 2.47-2.57
Ni5 0.9679 0.4567 0.3201  3 Si 2.26-2.38, 2 Ni 2.53
Ni6 0.7897 0.1031 0.3714  3 Si 2.25-2.36, 2 Ni 2.47-2.51
Ni7 0.2897 0.3969 0.1286  3 Si 2.25-2.36, 2 Ni 2.47-2.51
Ni8 0.4679 0.0433 0.1799  3 Si 2.26-2.38, 2 Ni 2.53
Ni9 0.2148 0.7601 0.2819  2 Si 2.31-2.45, 3 Ni 2.47-2.57
Ni10 0.7852 0.2399 0.7181  2 Si 2.31-2.45, 3 Ni 2.47-2.57
Ni11 0.5321 0.9567 0.8201  3 Si 2.26-2.38, 2 Ni 2.53
Ni12 0.7103 0.6031 0.8714  3 Si 2.25-2.36, 2 Ni 2.47-2.51


# Ac2SiNi4

Ac2SiNi4 after structural relaxation (PBE, the Alexandria database).

Computed properties:
- size of the total moment (μB/f.u.) = 0.00
- DOS at the Fermi energy (states/eV per cell) = 2.99
- total energy (eV/cell) = -38.699
- symmetry = Fmmm (69)
- raw formation energy (meV per atom) = -276

Cell lengths 5.9995, 5.9995, 5.6358 Å; angles 117.30, 117.30, 97.95 degrees
With the nearest neighbours (Å) after each atom.
Fractional positions:
Ac1 0.2499 0.7501 0.5000  8 Ni 3.01-3.05
Ac2 0.7499 0.2501 0.5000  8 Ni 3.01-3.05
Si1 0.0002 0.9998 0.0000  4 Ni 2.26-2.29
Ni1 0.7093 0.7093 0.0000  1 Si 2.29, 2 Ni 2.42
Ni2 0.2907 0.2907 0.0000  1 Si 2.29, 2 Ni 2.42
Ni3 0.2803 0.2805 0.5608  1 Si 2.26, 2 Ni 2.42
Ni4 0.7195 0.7197 0.4392  1 Si 2.26, 2 Ni 2.42


# Ac3Si2Ni3

Ac3Si2Ni3 after structural relaxation (PBE, the Alexandria database).

Computed properties:
- size of the total moment (μB/f.u.) = 0.00
- DOS at the Fermi energy (states/eV per cell) = 13.35
- total energy (eV/cell) = -89.075
- symmetry = Cmcm (63)
- raw formation energy (meV per atom) = -503

Cell lengths 4.1760, 6.2245, 15.1019 Å; angles 90.00, 90.00, 109.60 degrees
With the nearest neighbours (Å) after each atom.
Fractional positions:
Ac1 0.9173 0.8346 0.3918  5 Ni 2.93-3.21
Ac2 0.0827 0.1654 0.8918  5 Ni 2.93-3.21
Ac3 0.9173 0.8346 0.1082  5 Ni 2.93-3.21
Ac4 0.0827 0.1654 0.6082  5 Ni 2.93-3.21
Ac5 0.6339 0.2679 0.2500  2 Ni 3.00, 4 Si 3.18
Ac6 0.3661 0.7321 0.7500  2 Ni 3.00, 4 Si 3.18
Si1 0.7990 0.5979 0.9004  3 Ni 2.34-2.35
Si2 0.2010 0.4021 0.4004  3 Ni 2.34-2.35
Si3 0.7990 0.5979 0.5996  3 Ni 2.34-2.35
Si4 0.2010 0.4021 0.0996  3 Ni 2.34-2.35
Ni1 0.6883 0.3767 0.4696  3 Si 2.34-2.35
Ni2 0.3117 0.6233 0.9696  3 Si 2.34-2.35
Ni3 0.6883 0.3767 0.0304  3 Si 2.34-2.35
Ni4 0.3117 0.6233 0.5304  3 Si 2.34-2.35
Ni5 0.3180 0.6361 0.2500  2 Si 2.65
Ni6 0.6820 0.3639 0.7500  2 Si 2.65


# Ac5Si3Ni3

Ac5Si3Ni3 after structural relaxation (PBE, the Alexandria database).

Computed properties:
- size of the total moment (μB/f.u.) = 0.00
- DOS at the Fermi energy (states/eV per cell) = 6.87
- total energy (eV/cell) = -57.059
- symmetry = P-62m (189)
- raw formation energy (meV per atom) = -264

Cell lengths 4.2115, 9.2106, 9.2106 Å; angles 120.00, 90.00, 90.00 degrees
With the nearest neighbours (Å) after each atom.
Fractional positions:
Ac1 0.5000 0.3333 0.6667  3 Ni 2.78
Ac2 0.5000 0.6667 0.3333  3 Ni 2.78
Ac3 0.5000 0.2369 0.2369  3 Ni 3.24-3.29, 4 Si 3.47, 2 Ac 3.60
Ac4 0.5000 0.0000 0.7631  3 Ni 3.24-3.29, 4 Si 3.47, 2 Ac 3.60
Ac5 0.5000 0.7631 0.0000  3 Ni 3.24-3.29, 4 Si 3.47, 2 Ac 3.60
Si1 0.0000 0.6636 0.6636  2 Ni 2.22
Si2 0.0000 0.3364 0.0000  2 Ni 2.22
Si3 0.0000 0.0000 0.3364  2 Ni 2.22
Ni1 0.5000 0.5886 0.5886  2 Si 2.22
Ni2 0.5000 0.0000 0.4114  2 Si 2.22
Ni3 0.5000 0.4114 0.0000  2 Si 2.22


> The highest DOS at the Fermi energy belongs to which entry?

Ac3Si2Ni3